[1]
First-principles (PBE) data for an optimized crystal structure of Li2LaCd2Pb2, as listed in Alexandria.

abc: 8.3901 4.8329 9.0041
angles: 90.00 107.84 90.00
Space group C2/m (No. 12)
One atom of each set of equivalent atoms:
1 Li 0.1437 0.0000 0.4325
2 La 0.0000 0.0000 0.0000
3 Cd 0.0577 0.5000 0.6705
4 Pb 0.2358 0.5000 0.2099

Calculated values
total DFT energy (no corrections)	-2.9448	eV per atom
M_tot	0.0	μB/f.u.
E_form	-0.373	eV/atom
calculated volume	24.8	A^3/atom



[2]
First-principles (PBE) data for an optimized crystal structure of AcSmHgIr, as listed in Alexandria.

abc: 4.2870 4.2870 23.3427
angles: 90.00 90.00 120.00
Space group R3m (No. 160, hexagonal axes)
One atom of each set of equivalent atoms:
1 Ac 0.0000 0.0000 0.0000
2 Sm 0.0000 0.0000 0.7985
3 Hg 0.0000 0.0000 0.2259
4 Ir 0.0000 0.0000 0.4027

Calculated values
total DFT energy (no corrections)	-5.0664	eV per atom
M_tot	0.0	μB/f.u.
E_form	-0.569	eV/atom
calculated volume	31.0	A^3/atom



[3]
First-principles (PBE) data for an optimized crystal structure of NpCdAu4, as listed in Alexandria.

abc: 10.3220 4.9923 6.9633
angles: 90.00 132.06 90.00
Space group C2/m (No. 12)
One atom of each set of equivalent atoms:
1 Np 0.0000 0.0000 0.0000
2 Cd 0.0000 0.0000 0.5000
3 Au 0.1790 0.5000 0.3969
4 Au 0.1798 0.5000 0.9655

Calculated values
total DFT energy (no corrections)	-4.6113	eV per atom
M_tot	4.3	μB/f.u.
E_form	-0.117	eV/atom
calculated volume	22.2	A^3/atom



[4]
First-principles (PBE) data for an optimized crystal structure of CsHfNi2, as listed in Alexandria.

abc: 7.4709 7.4709 7.4718
angles: 90.00 90.00 90.00
Space group I-42d (No. 122)
One atom of each set of equivalent atoms:
1 Cs 0.0000 0.0000 0.0000
2 Hf 0.0000 0.0000 0.5000
3 Ni 0.1771 0.2500 0.6250

Calculated values
total DFT energy (no corrections)	-4.7439	eV per atom
M_tot	0.0	μB/f.u.
E_form	0.849	eV/atom
calculated volume	26.1	A^3/atom